Computed, not measured: CdWF3 after structural relaxation at the PBE with a Hubbard U level of DFT.

## Properties
density = 7.0 g cm⁻³
DFT total energy = -4.4896 eV per atom
energy above the lowest structure with this stoichiometry = 0.000 eV per atom

Cell and atoms, written as CIF:
```
data_CdWF3
_chemical_formula_sum 'Cd1 W1 F3'
_symmetry_space_group_name_H-M 'P m -3 m'
_symmetry_Int_Tables_number 221
_symmetry_space_group_name_Hall '-P 4 2 3'
_cell_length_a 4.3659
_cell_length_b 4.3659
_cell_length_c 4.3659
_cell_angle_alpha 90.00
_cell_angle_beta 90.00
_cell_angle_gamma 90.00
loop_
_atom_site_label
_atom_site_type_symbol
_atom_site_fract_x
_atom_site_fract_y
_atom_site_fract_z
Cd1 Cd 0.0000 0.0000 0.0000
W1 W 0.5000 0.5000 0.5000
F1 F 0.0000 0.5000 0.5000
```